1.
Computed, not measured: a relaxed structure of Al3Mo5 at the PBE-GGA level of DFT.

Its space group is C2/m, No. 12. The final energy comes out at -8.339 eV per atom.

a = 7.468 Å, b = 7.468 Å, c = 7.465 Å
α = 96.42°, β = 96.42°, γ = 140.93°
Fractional positions:
Al: 0.173 0.827 0.000
Al: 0.250 0.750 0.500
Al: 0.326 0.326 0.655
Al: 0.674 0.674 0.345
Al: 0.750 0.250 0.500
Al: 0.827 0.173 0.000
Mo: 0.073 0.267 0.337
Mo: 0.235 0.572 0.807
Mo: 0.250 0.250 0.000
Mo: 0.267 0.073 0.337
Mo: 0.428 0.765 0.193
Mo: 0.572 0.235 0.807
Mo: 0.733 0.927 0.663
Mo: 0.750 0.750 0.000
Mo: 0.765 0.428 0.193
Mo: 0.927 0.733 0.663

***

2.
Computed, not measured: a relaxed structure of NdCdSnPb at the PBE-GGA level of DFT.

Its space group is Pmmm, No. 47. The final energy comes out at -3.790 eV per atom.

a = 4.581 Å, b = 4.848 Å, c = 4.874 Å
α = 90.00°, β = 90.00°, γ = 90.00°
Fractional positions:
Nd: 0.000 0.000 0.000
Cd: 0.000 0.500 0.500
Sn: 0.500 0.500 0.000
Pb: 0.500 0.000 0.500

***

3.
Computed, not measured: a relaxed structure of AgAuF at the PBE-GGA level of DFT.

The calculation puts the formation energy from raw total energies at -0.57 eV/atom. Its space group is P3m1, No. 156. The final energy comes out at -3.232 eV per atom.

a = 3.006 Å, b = 3.006 Å, c = 6.012 Å
α = 90.00°, β = 90.00°, γ = 120.00°
Fractional positions:
Ag: 0.000 0.000 0.000
Au: 0.333 0.667 0.623
F: 0.667 0.333 0.279

***

4.
Computed, not measured: a relaxed structure of Ac2MgTiO6 at the PBE-GGA level of DFT.

The calculation puts the formation energy from raw total energies at -3.25 eV/atom. Its space group is P2_1/c, No. 14. The final energy comes out at -7.991 eV per atom.

a = 5.712 Å, b = 5.675 Å, c = 9.846 Å
α = 90.00°, β = 125.35°, γ = 90.00°
Fractional positions:
Ac: 0.246 0.016 0.250
Ac: 0.246 0.484 0.750
Ac: 0.754 0.516 0.250
Ac: 0.754 0.984 0.750
Mg: 0.500 0.000 0.000
Mg: 0.500 0.500 0.500
Ti: 0.000 0.000 0.500
Ti: 0.000 0.500 0.000
O: 0.190 0.236 0.967
O: 0.190 0.264 0.467
O: 0.229 0.724 0.967
O: 0.229 0.776 0.467
O: 0.305 0.008 0.743
O: 0.305 0.492 0.243
O: 0.695 0.508 0.757
O: 0.695 0.992 0.257
O: 0.771 0.224 0.533
O: 0.771 0.276 0.033
O: 0.810 0.736 0.533
O: 0.810 0.764 0.033

***

5.
Computed, not measured: a relaxed structure of Ca2LaSbO at the PBE-GGA level of DFT.

The calculation puts the formation energy from raw total energies at -1.56 eV/atom. Its space group is P4/mmm, No. 123. The final energy comes out at -5.158 eV per atom.

a = 4.801 Å, b = 4.801 Å, c = 5.176 Å
α = 90.00°, β = 90.00°, γ = 90.00°
Fractional positions:
Ca: 0.000 0.500 0.000
Ca: 0.500 0.000 0.000
La: 0.000 0.000 0.500
Sb: 0.500 0.500 0.500
O: 0.000 0.000 0.000

***

6.
Computed, not measured: a relaxed structure of Ba2CaMgPt at the PBE-GGA level of DFT.

Its space group is P4/mmm, No. 123. The final energy comes out at -3.017 eV per atom.

a = 6.236 Å, b = 6.236 Å, c = 5.280 Å
α = 90.00°, β = 90.00°, γ = 90.00°
Fractional positions:
Ba: 0.000 0.500 0.000
Ba: 0.500 0.000 0.000
Ca: 0.000 0.000 0.500
Mg: 0.500 0.500 0.500
Pt: 0.500 0.500 0.000

***

7.
Computed, not measured: a relaxed structure of RuRhAu at the PBE-GGA level of DFT.

Its space group is I4mm, No. 107. The final energy comes out at -6.459 eV per atom.

a = 6.280 Å, b = 6.280 Å, c = 6.280 Å
α = 154.40°, β = 154.40°, γ = 36.52°
Fractional positions:
Ru: 0.000 0.000 0.000
Rh: 0.644 0.644 0.000
Au: 0.324 0.324 0.000

***

8.
Computed, not measured: a relaxed structure of Tb4SmMgS8 at the PBE-GGA level of DFT.

The calculation puts the formation energy from raw total energies at -1.91 eV/atom. Its space group is R3m, No. 160. The final energy comes out at -6.042 eV per atom.

a = 8.044 Å, b = 8.044 Å, c = 8.044 Å
α = 59.86°, β = 59.86°, γ = 59.86°
Fractional positions:
Tb: 0.000 0.000 0.000
Tb: 0.377 0.377 0.867
Tb: 0.377 0.867 0.377
Tb: 0.867 0.377 0.377
Sm: 0.377 0.377 0.377
Mg: 0.750 0.750 0.750
S: 0.130 0.130 0.601
S: 0.130 0.601 0.130
S: 0.133 0.133 0.133
S: 0.134 0.624 0.624
S: 0.601 0.130 0.130
S: 0.621 0.621 0.621
S: 0.624 0.134 0.624
S: 0.624 0.624 0.134

***

9.
Computed, not measured: a relaxed structure of La2Tb6Ho3 at the PBE-GGA level of DFT.

Its space group is I4/mmm, No. 139. The final energy comes out at -4.400 eV per atom.

a = 17.184 Å, b = 17.184 Å, c = 17.184 Å
α = 164.08°, β = 164.08°, γ = 22.58°
Fractional positions:
La: 0.046 0.046 0.000
La: 0.954 0.954 0.000
Tb: 0.124 0.624 0.500
Tb: 0.197 0.197 0.000
Tb: 0.376 0.876 0.500
Tb: 0.624 0.124 0.500
Tb: 0.803 0.803 0.000
Tb: 0.876 0.376 0.500
Ho: 0.299 0.299 0.000
Ho: 0.500 0.500 0.000
Ho: 0.701 0.701 0.000

***

10.
Computed, not measured: a relaxed structure of Rb2AsAuF6 at the PBE-GGA level of DFT.

The calculation puts the formation energy from raw total energies at -2.02 eV/atom. Its space group is I4/mmm, No. 139. The final energy comes out at -4.129 eV per atom.

a = 6.418 Å, b = 6.418 Å, c = 6.418 Å
α = 115.93°, β = 115.93°, γ = 97.20°
Fractional positions:
Rb: 0.250 0.750 0.500
Rb: 0.750 0.250 0.500
As: 0.000 0.000 0.000
Au: 0.500 0.500 0.000
F: 0.210 0.210 0.420
F: 0.210 0.790 0.000
F: 0.250 0.250 0.000
F: 0.750 0.750 0.000
F: 0.790 0.210 0.000
F: 0.790 0.790 0.580

***

11.
Computed, not measured: a relaxed structure of PuCdCu2 at the PBE-GGA level of DFT.

Its space group is R-3m, No. 166. The final energy comes out at -5.628 eV per atom.

a = 9.762 Å, b = 9.762 Å, c = 9.762 Å
α = 17.14°, β = 17.14°, γ = 17.14°
Fractional positions:
Pu: 0.000 0.000 0.000
Cd: 0.500 0.500 0.500
Cu: 0.246 0.246 0.246
Cu: 0.754 0.754 0.754

***

12.
Computed, not measured: a relaxed structure of Cd4AgRh at the PBE-GGA level of DFT.

Its space group is F-43m, No. 216. The final energy comes out at -2.082 eV per atom.

a = 5.536 Å, b = 5.536 Å, c = 5.536 Å
α = 60.00°, β = 60.00°, γ = 60.00°
Fractional positions:
Cd: 0.125 0.125 0.125
Cd: 0.125 0.125 0.626
Cd: 0.125 0.626 0.125
Cd: 0.626 0.125 0.125
Ag: 0.500 0.500 0.500
Rh: 0.750 0.750 0.750

***

> The lowest final energy belongs to which entry?

Al3Mo5

***

> Among the records above, which one has the highest final energy?

Cd4AgRh

***

> Which of these has the lowest final energy?

Al3Mo5

***

> Look up the final energy of the seventh one.

-6.459 eV per atom